Entry 1:
DFT (PBE) results for a relaxed structure of AcS2Br2O6.

- uncorrected formation energy (eV/atom) = -1.443
- ρ (g/cm3) = 3.743
- uncorrected energy (eV per cell) = -61.3
- N(E_F) (states/eV per atom) = 0.43

a = 6.5265 Å, b = 6.5265 Å, c = 6.5781 Å
α = 90.00°, β = 90.00°, γ = 120.00°
Last column: nearest neighbours and their distance in Å.
Fractional coordinates of all 11 atoms:
1 Ac 0.0000 0.0000 0.0000  6 O 2.55
2 S 0.3333 0.6667 0.9198  3 O 1.49
3 S 0.6667 0.3333 0.0802  3 O 1.49
4 Br 0.3333 0.6667 0.3007  1 S 2.51
5 Br 0.6667 0.3333 0.6993  1 S 2.51
6 O 0.2080 0.4161 0.8497  1 S 1.49
7 O 0.2080 0.7920 0.8497  1 S 1.49
8 O 0.4161 0.2080 0.1503  1 S 1.49
9 O 0.5839 0.7920 0.8497  1 S 1.49
10 O 0.7920 0.2080 0.1503  1 S 1.49
11 O 0.7920 0.5839 0.1503  1 S 1.49



Entry 2:
DFT (PBE) results for a relaxed structure of AcS2BrO6.

- uncorrected formation energy (eV/atom) = -1.733
- ρ (g/cm3) = 3.971
- uncorrected energy (eV per cell) = -122.2
- N(E_F) (states/eV per atom) = 0.00

a = 7.0118 Å, b = 7.0118 Å, c = 8.8906 Å
α = 108.55°, β = 108.55°, γ = 89.74°
Last column: nearest neighbours and their distance in Å.
Fractional coordinates of all 20 atoms:
1 Ac 0.0596 0.9404 0.7500  8 O 2.59-2.83
2 Ac 0.9404 0.0596 0.2500  8 O 2.59-2.83
3 S 0.0880 0.4043 0.7280  3 O 1.49-1.54
4 S 0.4043 0.0880 0.2280  3 O 1.49-1.54
5 S 0.5957 0.9120 0.7720  3 O 1.49-1.54
6 S 0.9120 0.5957 0.2720  3 O 1.49-1.54
7 Br 0.3990 0.6010 0.7500  2 S 2.51
8 Br 0.6010 0.3990 0.2500  2 S 2.51
9 O 0.0066 0.2155 0.5704  1 S 1.54
10 O 0.0487 0.4334 0.2835  1 S 1.49
11 O 0.0986 0.3330 0.8716  1 S 1.49
12 O 0.2155 0.0066 0.0704  1 S 1.54
13 O 0.3330 0.0986 0.3716  1 S 1.49
14 O 0.4334 0.0487 0.7835  1 S 1.49
15 O 0.5666 0.9513 0.2165  1 S 1.49
16 O 0.6670 0.9014 0.6284  1 S 1.49
17 O 0.7845 0.9934 0.9296  1 S 1.54
18 O 0.9014 0.6670 0.1284  1 S 1.49
19 O 0.9513 0.5666 0.7165  1 S 1.49
20 O 0.9934 0.7845 0.4296  1 S 1.54



Entry 3:
DFT (PBE) results for a relaxed structure of AcSbBrO4.

- uncorrected formation energy (eV/atom) = -1.839
- ρ (g/cm3) = 5.007
- uncorrected energy (eV per cell) = -85.2

a = 7.3125 Å, b = 7.3125 Å, c = 7.5120 Å
α = 100.77°, β = 100.77°, γ = 56.34°
Last column: nearest neighbours and their distance in Å.
Fractional coordinates of all 14 atoms:
1 Ac 0.2055 0.2055 0.3249  4 O 2.37-2.48
2 Ac 0.7945 0.7945 0.6751  4 O 2.37-2.48
3 Sb 0.1315 0.1315 0.7568  4 O 1.88-1.93
4 Sb 0.8685 0.8685 0.2432  4 O 1.88-1.93
5 Br 0.4906 0.4906 0.8440  1 Br 2.30
6 Br 0.5094 0.5094 0.1560  1 Br 2.30
7 O 0.0174 0.0174 0.2742  1 Sb 1.88
8 O 0.0252 0.6130 0.3767  1 Sb 1.93
9 O 0.1996 0.1996 0.0046  1 Sb 1.88
10 O 0.3870 0.9748 0.6233  1 Sb 1.93
11 O 0.6130 0.0252 0.3767  1 Sb 1.93
12 O 0.8004 0.8004 0.9954  1 Sb 1.88
13 O 0.9748 0.3870 0.6233  1 Sb 1.93
14 O 0.9826 0.9826 0.7258  1 Sb 1.88